A plane-wave DFT calculation with PBE-GGA was carried out for crystalline ZrCd2 at its relaxed geometry.

The structure in POSCAR format:
```
ZrCd2
1.0
-1.192 -4.252 3.894
-2.101 5.495 0.231
-2.481 -2.080 -4.918
Zr Cd
2 4
direct
0.750 0.750 0.000 Zr
0.250 0.250 0.000 Zr
0.151 0.349 0.500 Cd
0.349 0.849 0.198 Cd
0.651 0.151 0.802 Cd
0.849 0.651 0.500 Cd
```

Values from the calculation:
Its formation energy is 213.1 meV/atom. For the total magnetization, the calculation gives 0.00 μB per formula unit. For the total DFT energy (no corrections), the calculation gives -0.1193 hartree per atom.



A plane-wave DFT calculation with PBE-GGA was carried out for crystalline ZrCd at its relaxed geometry.

The structure in POSCAR format:
```
ZrCd
1.0
-1.549 -4.693 -0.040
1.919 1.934 4.123
-5.254 1.721 1.639
Zr Cd
2 2
direct
0.333 0.667 0.250 Zr
0.667 0.333 0.750 Zr
0.333 0.667 0.750 Cd
0.667 0.333 0.250 Cd
```

Values from the calculation:
Its formation energy is 996.7 meV/atom. For the total magnetization, the calculation gives 0.48 μB per formula unit. For the total DFT energy (no corrections), the calculation gives -0.1373 hartree per atom.



A plane-wave DFT calculation with PBE-GGA was carried out for crystalline ZrCd at its relaxed geometry.

The structure in POSCAR format:
```
ZrCd
1.0
-4.864 -9.692 4.629
4.070 -0.825 2.550
-2.220 3.318 4.616
Zr Cd
8 8
direct
0.318 0.250 0.606 Zr
0.818 0.250 0.894 Zr
0.682 0.750 0.394 Zr
0.182 0.750 0.106 Zr
0.059 0.250 0.359 Zr
0.559 0.250 0.141 Zr
0.941 0.750 0.641 Zr
0.441 0.750 0.859 Zr
0.311 0.250 0.104 Cd
0.811 0.250 0.396 Cd
0.689 0.750 0.896 Cd
0.189 0.750 0.604 Cd
0.076 0.250 0.857 Cd
0.576 0.250 0.643 Cd
0.924 0.750 0.143 Cd
0.424 0.750 0.357 Cd
```

Values from the calculation:
Its formation energy is -37.0 meV/atom. For the total magnetization, the calculation gives 0.00 μB per formula unit. For the total DFT energy (no corrections), the calculation gives -0.1752 hartree per atom.



A plane-wave DFT calculation with PBE-GGA was carried out for crystalline Zr5Cd2 at its relaxed geometry.

The structure in POSCAR format:
```
Zr5Cd2
1.0
3.106 0.000 0.000
0.000 10.177 0.000
0.000 0.000 10.177
Zr Cd
10 4
direct
0.000 0.500 0.000 Zr
0.000 0.210 0.057 Zr
0.000 0.943 0.210 Zr
0.000 0.443 0.290 Zr
0.000 0.710 0.443 Zr
0.000 0.000 0.500 Zr
0.000 0.290 0.557 Zr
0.000 0.557 0.710 Zr
0.000 0.057 0.790 Zr
0.000 0.790 0.943 Zr
0.500 0.684 0.184 Cd
0.500 0.184 0.316 Cd
0.500 0.816 0.684 Cd
0.500 0.316 0.816 Cd
```

Values from the calculation:
Its formation energy is 184.2 meV/atom. For the total magnetization, the calculation gives 0.00 μB per formula unit. For the total DFT energy (no corrections), the calculation gives -0.2272 hartree per atom.